This record from Alexandria describes a relaxed AcCu2SiPt crystal. The functional is PBE.

Cell: 5.783 5.783 5.783 Å, 135.29 134.89 65.39°
Sites, in units of the cell vectors:
Ac: 0.000 0.000 0.000
Cu: 0.389 0.389 0.000
Cu: 0.746 0.246 0.500
Si: 0.639 0.639 0.000
Pt: 0.241 0.741 0.500

Computed properties:
Uncorrected formation energy: -0.55 eV per atom